The following is a PBE-GGA calculation of ThMoP2 after structural relaxation, from Alexandria.

Unit cell a=3.961 b=3.961 c=6.185 alpha=71.33 beta=71.33 gamma=60.00
Positions (direct):
1 P 0.733 0.733 0.800
2 P 0.267 0.267 0.200
3 Mo 0.000 0.000 0.000
4 Th 0.500 0.500 0.500

Calculated values
As for the space group: R-3m (166). The calculation puts the energy relative to the elements at -0.8405 eV/atom. The total moment is 1.502 μB/f.u. The total DFT energy (no corrections) comes out at -0.2980 Ha/atom.

---

The following is a PBE-GGA calculation of Er2ZnTe after structural relaxation, from Alexandria.

Unit cell a=4.001 b=4.001 c=8.074 alpha=75.65 beta=75.65 gamma=60.00
Positions (direct):
1 Er 0.078 0.078 0.767
2 Er 0.256 0.256 0.233
3 Zn 0.668 0.668 0.997
4 Te 0.499 0.499 0.502

Calculated values
As for the space group: R3m (160). As for the uncorrected formation energy: -0.684 eV/atom. The total moment is 0.000 μB/f.u. The calculation puts the excess energy over the best structure of this formula in the dataset at 10.8 kJ per mole of atoms. The total DFT energy (no corrections) comes out at -0.1495 Ha/atom.

---

The following is a PBE-GGA calculation of NiBH after structural relaxation, from Alexandria.

Unit cell a=2.273 b=3.325 c=4.095 alpha=86.36 beta=75.41 gamma=89.99
Positions (direct):
1 Ni 0.849 0.067 0.742
2 B 0.333 0.559 0.779
3 H 0.463 0.885 0.491

Calculated values
As for the space group: P1 (1). The total moment is 0.000 μB/f.u. The calculation puts the excess energy over the best structure of this formula in the dataset at 26.1 kJ per mole of atoms. The total DFT energy (no corrections) comes out at -0.1809 Ha/atom.

---

The following is a PBE-GGA calculation of K2TlCr after structural relaxation, from Alexandria.

Unit cell a=3.929 b=3.959 c=10.170 alpha=90.00 beta=90.00 gamma=90.00
Positions (direct):
1 Cr 0.500 0.500 0.667
2 K 0.000 0.000 0.931
3 K 0.500 0.500 0.323
4 Tl 0.000 0.000 0.579

Calculated values
As for the space group: Pmm2 (25). The calculation puts the energy relative to the elements at 0.4233 eV/atom. The total moment is 4.472 μB/f.u. The calculation puts the excess energy over the best structure of this formula in the dataset at 0.0 kJ per mole of atoms. The total DFT energy (no corrections) comes out at -0.1148 Ha/atom.

---

The following is a PBE-GGA calculation of Ca4SbPb after structural relaxation, from Alexandria.

Unit cell a=6.566 b=6.566 c=6.566 alpha=60.00 beta=60.00 gamma=60.00
Positions (direct):
1 Ca 0.876 0.375 0.375
2 Ca 0.375 0.375 0.876
3 Ca 0.375 0.876 0.375
4 Ca 0.375 0.375 0.375
5 Sb 0.000 0.000 0.000
6 Pb 0.750 0.750 0.750

Calculated values
As for the space group: F-43m (216). As for the uncorrected formation energy: 0.020 eV/atom. The total moment is 0.001 μB/f.u. The total DFT energy (no corrections) comes out at -0.0963 Ha/atom.

---

The following is a PBE-GGA calculation of CaSi2Au after structural relaxation, from Alexandria.

Unit cell a=5.247 b=5.247 c=5.247 alpha=132.97 beta=132.97 gamma=68.70
Positions (direct):
1 Au 0.500 0.500 0.000
2 Ca 0.750 0.250 0.500
3 Si 0.000 0.000 0.000
4 Si 0.250 0.750 0.500

Calculated values
As for the space group: I-4m2 (119). As for the uncorrected formation energy: -0.076 eV/atom. The total moment is 0.000 μB/f.u. The total DFT energy (no corrections) comes out at -0.1510 Ha/atom.

---

The following is a PBE-GGA calculation of PrNd12Tl3 after structural relaxation, from Alexandria.

Unit cell a=5.016 b=5.016 c=20.593 alpha=90.00 beta=90.00 gamma=90.00
Positions (direct):
1 Pr 0.000 0.000 0.000
2 Nd 0.500 0.500 0.000
3 Nd 0.500 0.500 0.257
4 Nd 0.500 0.500 0.500
5 Nd 0.500 0.500 0.743
6 Nd 0.500 0.000 0.133
7 Nd 0.500 0.000 0.378
8 Nd 0.500 0.000 0.622
9 Nd 0.500 0.000 0.867
10 Nd 0.000 0.500 0.133
11 Nd 0.000 0.500 0.378
12 Nd 0.000 0.500 0.622
13 Nd 0.000 0.500 0.867
14 Tl 0.000 0.000 0.257
15 Tl 0.000 0.000 0.500
16 Tl 0.000 0.000 0.743

Calculated values
As for the space group: P4/mmm (123). The calculation puts the energy relative to the elements at -0.1427 eV/atom. The total moment is 0.005 μB/f.u. The total DFT energy (no corrections) comes out at -0.1639 Ha/atom.

---

The following is a PBE-GGA calculation of KSrV after structural relaxation, from Alexandria.

Unit cell a=5.838 b=5.838 c=5.838 alpha=60.00 beta=60.00 gamma=60.00
Positions (direct):
1 Sr 0.750 0.750 0.750
2 K 0.250 0.250 0.250
3 V 0.500 0.500 0.500

Calculated values
As for the space group: F-43m (216). The calculation puts the energy relative to the elements at 1.1086 eV/atom. The total moment is 5.390 μB/f.u. The calculation puts the excess energy over the best structure of this formula in the dataset at 62.0 kJ per mole of atoms. The total DFT energy (no corrections) comes out at -0.1050 Ha/atom.